1.
Entry from Alexandria via LeMat-Bulk: a geometry-optimized AsAuSe2 structure (PBE).

Results
* calculated total energy: -3.642 eV/atom
* formation energy (no corrections): 0.08 eV/atom

a b c (Å): 6.7054 6.7054 6.7054
angles (deg): 34.30 34.30 34.30
Positions (direct):
As 0.5050 0.5050 0.5050
Au 0.2489 0.2489 0.2489
Se 0.9899 0.9899 0.9899
Se 0.7562 0.7562 0.7562



2.
Entry from Alexandria via LeMat-Bulk: a geometry-optimized CaAl2Zn structure (PBE).

Results
* energy of formation: 0.30 eV per formula unit
* calculated total energy: -2.615 eV/atom

a b c (Å): 4.8042 4.8042 9.4950
angles (deg): 75.35 75.35 90.00
Positions (direct):
Zn 0.0000 0.0000 0.0000
Zn 0.7500 0.2500 0.5000
Ca 0.5000 0.5000 0.0000
Ca 0.2500 0.7500 0.5000
Al 0.7884 0.1250 0.2500
Al 0.9616 0.6250 0.2500
Al 0.3750 0.2116 0.7500
Al 0.8750 0.0384 0.7500



Q: What is the calculated total energy in the second record?
A: -2.615 eV/atom



Q: Which of these has the lowest calculated total energy?
A: AsAuSe2